Compound: BaNaI2
Source: Alexandria
Functional: GGA-PBE
Structure: relaxed

```
4
Lattice="-2.289 0.323 -3.693 1.408 -5.475 -1.352 -4.741 -1.904 2.772" Properties=species:S:1:pos:R:3 pbc="T T T"
I -2.371 -0.952 1.386
I 0.704 -2.738 -0.676
Na -2.811 -3.528 -1.136
Ba -1.144 0.162 -1.846
```

Summary:
**Symmetry**: P4/mmm
**Relative energy among the computed polymorphs**: 0.0695 eV per atom
**E_form (uncorrected)**: -1.19 eV/atom